# PBE+U MnZnI2O, optimized geometry
data_MnZnI2O
_chemical_formula_sum 'Mn1 Zn1 I2 O1'
_cell_length_a 6.0079
_cell_length_b 6.0079
_cell_length_c 3.6372
_cell_angle_alpha 90.00
_cell_angle_beta 90.00
_cell_angle_gamma 90.00
_space_group_name_H-M_alt 'P 4/m m m'
_space_group_IT_number 123
_space_group_name_Hall '-P 4 2'
loop_
_atom_site_label
_atom_site_type_symbol
_atom_site_fract_x
_atom_site_fract_y
_atom_site_fract_z
Mn1 Mn 0.0000 0.0000 0.0000
Zn1 Zn 0.5000 0.5000 0.0000
I1 I 0.0000 0.5000 0.5000
O1 O 0.5000 0.5000 0.5000
# distance to the lowest polymorph of the same formula = 274 meV/atom
# E = -3.376 eV per atom